Material: CsK2AgPd
Method: DFT, PBE-GGA
State: optimized geometry

Results
crystal system = tetragonal
calculated total energy = -10.37 eV per cell
magnetic moment = 0.00 μB/atom
D(E_F) = 0.29 states/eV per cell
E above lowest polymorph = 0.0460 eV/atom
formation energy = 0.1442 eV/atom
symmetry = P4/mmm (123)

```
CsK2AgPd
1.0
6.1777 0.0000 0.0000
0.0000 6.1777 0.0000
0.0000 0.0000 6.6508
Cs K Ag Pd
1 2 1 1
Direct
0.0000 0.0000 0.0000
0.0000 0.5000 0.5000
0.5000 0.0000 0.5000
0.5000 0.5000 0.0000
0.0000 0.0000 0.5000
```



Material: Ca2CeHg5
Method: DFT, PBE-GGA
State: optimized geometry

Results
crystal system = tetragonal
calculated total energy = -29.54 eV per cell
magnetic moment = 0.13 μB/atom
D(E_F) = 21.54 states/eV per cell
formation energy = -0.4154 eV/atom
symmetry = I4/mmm (139)

```
Ca2CeHg5
1.0
5.3025 0.0000 0.0000
0.0000 5.3025 0.0000
0.0000 0.0000 14.9907
Ca Ce Hg
4 2 10
Direct
0.0000 0.0000 0.2378
0.0000 0.0000 0.7622
0.5000 0.5000 0.2622
0.5000 0.5000 0.7378
0.0000 0.0000 0.5000
0.5000 0.5000 0.0000
0.0000 0.0000 0.0000
0.0000 0.5000 0.1251
0.0000 0.5000 0.3749
0.0000 0.5000 0.6251
0.0000 0.5000 0.8749
0.5000 0.0000 0.1251
0.5000 0.0000 0.3749
0.5000 0.0000 0.6251
0.5000 0.0000 0.8749
0.5000 0.5000 0.5000
```



Material: Rb2Li2CaBr6
Method: DFT, PBE-GGA
State: optimized geometry

Results
crystal system = monoclinic
calculated total energy = -36.73 eV per cell
E_form (uncorrected) = -1721.0 meV per atom
magnetic moment = 0.00 μB/atom
D(E_F) = 0.00 states/eV per cell
symmetry = C2/m (12)

```
Rb2Li2CaBr6
1.0
6.6704 -3.9935 0.0000
6.6704 3.9935 0.0000
-3.7962 0.0000 7.4947
Rb Li Ca Br
2 2 1 6
Direct
0.2087 0.2087 0.1673
0.7913 0.7913 0.8327
0.4399 0.4399 0.7268
0.5601 0.5601 0.2732
0.0000 0.0000 0.5000
0.1933 0.7013 0.2134
0.2372 0.2372 0.5940
0.2987 0.8067 0.7866
0.7013 0.1933 0.2134
0.7628 0.7628 0.4060
0.8067 0.2987 0.7866
```



Material: BaLi2Os
Method: DFT, PBE-GGA
State: optimized geometry

Results
crystal system = orthorhombic
calculated total energy = -28.35 eV per cell
magnetic moment = 0.04 μB/atom
D(E_F) = 4.30 states/eV per cell
E above lowest polymorph = 0.1053 eV/atom
formation energy = 0.7018 eV/atom
symmetry = Imm2 (44)

```
BaLi2Os
1.0
3.5723 0.0000 0.0000
0.0000 5.0983 0.0000
0.0000 0.0000 9.2291
Ba Li Os
2 4 2
Direct
0.0000 0.0000 0.0000
0.5000 0.5000 0.5000
0.0000 0.0000 0.4667
0.0000 0.5000 0.2204
0.5000 0.0000 0.7204
0.5000 0.5000 0.9667
0.0000 0.5000 0.7674
0.5000 0.0000 0.2674
```